No. 1
{"formula": "Co3Ge", "functional": "PBE", "state": "optimized geometry", "final_energy_ev_per_cell": -26.00, "total_magnetization_mub_per_cell": 3.48, "sg": "Imm2 (44)", "formation_energy_kj_per_mol_fu": -6, "cell": [[2.670, 0.000, 0.000], [0.000, 4.238, 0.000], [-1.335, -2.119, 4.058]], "species": ["Ge", "Co", "Co", "Co"], "fractional_positions": [[0.000, 0.985, 0.000], [0.250, 0.596, 0.499], [0.500, 0.489, 0.000], [0.750, 0.097, 0.501]]}

---

No. 2
{"formula": "Co5Ge7", "functional": "PBE", "state": "optimized geometry", "final_energy_ev_per_cell": -64.87, "total_magnetization_mub_per_cell": 0.00, "sg": "I4mm (107)", "formation_energy_kj_per_mol_fu": 288, "cell": [[6.036, 1.198, 0.000], [-2.504, 5.621, 0.000], [-1.766, -3.409, 4.809]], "species": ["Ge", "Ge", "Ge", "Ge", "Ge", "Ge", "Ge", "Co", "Co", "Co", "Co", "Co"], "fractional_positions": [[0.213, 0.213, 0.000], [0.003, 0.503, 0.500], [0.503, 0.003, 0.500], [0.007, 0.745, 0.262], [0.745, 0.483, 0.738], [0.745, 0.007, 0.262], [0.483, 0.745, 0.738], [0.528, 0.528, 0.000], [0.814, 0.222, 0.000], [0.222, 0.222, 0.408], [0.814, 0.814, 0.592], [0.222, 0.814, 0.000]]}

---

No. 3
{"formula": "CoGe4", "functional": "PBE", "state": "optimized geometry", "final_energy_ev_per_cell": -24.15, "total_magnetization_mub_per_cell": 0.00, "sg": "Pm-3m (221)", "formation_energy_kj_per_mol_fu": 137, "cell": [[4.574, 0.000, 0.000], [0.000, 4.574, 0.000], [0.000, 0.000, 4.574]], "species": ["Ge", "Ge", "Ge", "Ge", "Co"], "fractional_positions": [[0.000, 0.000, 0.000], [0.500, 0.000, 0.500], [0.000, 0.500, 0.500], [0.500, 0.500, 0.000], [0.500, 0.500, 0.500]]}

---

No. 4
{"formula": "Co4Ge", "functional": "PBE", "state": "optimized geometry", "final_energy_ev_per_cell": -131.37, "total_magnetization_mub_per_cell": 20.60, "sg": "Pnma (62)", "formation_energy_kj_per_mol_fu": 19, "cell": [[3.369, 1.030, 0.000], [1.711, 6.452, 0.000], [0.000, 0.000, 12.120]], "species": ["Co", "Co", "Co", "Co", "Co", "Co", "Co", "Co", "Co", "Co", "Co", "Co", "Co", "Co", "Co", "Co", "Ge", "Ge", "Ge", "Ge"], "fractional_positions": [[0.302, 0.948, 0.558], [0.698, 0.552, 0.058], [0.302, 0.448, 0.942], [0.698, 0.052, 0.442], [0.501, 0.249, 0.125], [0.674, 0.076, 0.849], [0.326, 0.924, 0.151], [0.499, 0.751, 0.875], [0.499, 0.251, 0.625], [0.501, 0.749, 0.375], [0.674, 0.576, 0.651], [0.326, 0.424, 0.349], [0.105, 0.145, 0.987], [0.895, 0.355, 0.487], [0.895, 0.855, 0.013], [0.105, 0.645, 0.513], [0.925, 0.325, 0.796], [0.925, 0.825, 0.704], [0.075, 0.175, 0.296], [0.075, 0.675, 0.204]]}

---

No. 5
{"formula": "Co5Ge7", "functional": "PBE", "state": "optimized geometry", "final_energy_ev_per_cell": -65.00, "total_magnetization_mub_per_cell": 0.00, "sg": "I4mm (107)", "formation_energy_kj_per_mol_fu": 276, "cell": [[4.725, 3.268, 2.525], [-3.112, -0.533, 5.424], [1.422, -5.280, -3.080]], "species": ["Co", "Co", "Co", "Co", "Co", "Ge", "Ge", "Ge", "Ge", "Ge", "Ge", "Ge"], "fractional_positions": [[0.477, 0.477, 0.000], [0.150, 0.745, 0.000], [0.745, 0.745, 0.595], [0.150, 0.150, 0.405], [0.745, 0.150, 0.000], [0.762, 0.762, 0.000], [0.032, 0.532, 0.500], [0.532, 0.032, 0.500], [0.996, 0.276, 0.720], [0.276, 0.556, 0.280], [0.276, 0.996, 0.720], [0.556, 0.276, 0.280]]}

---

No. 6
{"formula": "Co3Ge", "functional": "PBE", "state": "optimized geometry", "final_energy_ev_per_cell": -26.28, "total_magnetization_mub_per_cell": 3.09, "sg": "I4/mmm (139)", "formation_energy_kj_per_mol_fu": -34, "cell": [[3.638, 0.000, 0.000], [0.000, 3.638, 0.000], [-1.819, -1.819, 3.422]], "species": ["Ge", "Co", "Co", "Co"], "fractional_positions": [[0.000, 0.000, 0.000], [0.750, 0.250, 0.500], [0.250, 0.750, 0.500], [0.500, 0.500, 0.000]]}

---

No. 7
{"formula": "Co2Ge3", "functional": "PBE", "state": "optimized geometry", "final_energy_ev_per_cell": -112.13, "total_magnetization_mub_per_cell": 0.00, "sg": "Pnma (62)", "formation_energy_kj_per_mol_fu": 3, "cell": [[2.808, 0.000, 0.000], [0.000, 7.536, 0.000], [0.000, 0.000, 13.653]], "species": ["Co", "Co", "Co", "Co", "Co", "Co", "Co", "Co", "Ge", "Ge", "Ge", "Ge", "Ge", "Ge", "Ge", "Ge", "Ge", "Ge", "Ge", "Ge"], "fractional_positions": [[0.750, 0.250, 0.519], [0.750, 0.750, 0.981], [0.250, 0.750, 0.481], [0.250, 0.250, 0.019], [0.750, 0.955, 0.233], [0.750, 0.455, 0.267], [0.250, 0.045, 0.767], [0.250, 0.545, 0.733], [0.750, 0.987, 0.411], [0.750, 0.487, 0.089], [0.250, 0.013, 0.589], [0.250, 0.513, 0.911], [0.750, 0.782, 0.797], [0.750, 0.282, 0.703], [0.250, 0.218, 0.203], [0.250, 0.718, 0.297], [0.750, 0.572, 0.584], [0.750, 0.072, 0.916], [0.250, 0.428, 0.416], [0.250, 0.928, 0.084]]}

---

No. 8
{"formula": "Co3GeH", "functional": "PBE", "state": "optimized geometry", "final_energy_ev_per_cell": -27.34, "total_magnetization_mub_per_cell": 3.56, "sg": "R3m (160)", "cell": [[3.769, 0.000, 1.499], [-1.885, 3.264, 1.499], [-1.885, -3.264, 1.499]], "species": ["H", "Ge", "Co", "Co", "Co"], "fractional_positions": [[0.978, 0.978, 0.978], [0.377, 0.377, 0.377], [0.707, 0.106, 0.707], [0.106, 0.707, 0.707], [0.707, 0.707, 0.106]]}

---

No. 9
{"formula": "Co3GeH", "functional": "PBE", "state": "optimized geometry", "final_energy_ev_per_cell": -55.12, "total_magnetization_mub_per_cell": 7.14, "sg": "Cmcm (63)", "cell": [[2.393, -6.053, 0.000], [2.393, 6.053, 0.000], [0.000, 0.000, 4.407]], "species": ["H", "H", "Ge", "Ge", "Co", "Co", "Co", "Co", "Co", "Co"], "fractional_positions": [[0.432, 0.568, 0.250], [0.568, 0.432, 0.750], [0.175, 0.825, 0.250], [0.825, 0.175, 0.750], [0.593, 0.910, 0.250], [0.090, 0.407, 0.250], [0.910, 0.593, 0.750], [0.407, 0.090, 0.750], [0.000, 0.000, 0.000], [0.000, 0.000, 0.500]]}

---

No. 10
{"formula": "Co3GeH", "functional": "PBE", "state": "optimized geometry", "final_energy_ev_per_cell": -58.64, "total_magnetization_mub_per_cell": 5.77, "sg": "C2/m (12)", "cell": [[15.036, 0.000, -0.928], [5.915, 1.774, -2.334], [-5.915, 1.774, 2.334]], "species": ["H", "H", "Ge", "Ge", "Co", "Co", "Co", "Co", "Co", "Co"], "fractional_positions": [[0.752, 0.840, 0.160], [0.248, 0.160, 0.840], [0.748, 0.153, 0.847], [0.252, 0.847, 0.153], [0.762, 0.327, 0.673], [0.238, 0.673, 0.327], [0.084, 0.221, 0.779], [0.916, 0.779, 0.221], [0.580, 0.718, 0.282], [0.420, 0.282, 0.718]]}

---

No. 11
{"formula": "Co3Ge2H2", "functional": "PBE", "state": "optimized geometry", "final_energy_ev_per_cell": -37.58, "total_magnetization_mub_per_cell": 0.52, "sg": "C2/m (12)", "cell": [[-2.716, 2.002, 0.627], [-2.386, -2.027, -3.867], [0.218, -3.512, 2.766]], "species": ["Co", "Co", "Co", "Ge", "Ge", "H", "H"], "fractional_positions": [[0.000, 0.500, 0.000], [0.310, 0.690, 0.621], [0.690, 0.310, 0.379], [0.621, 0.822, 0.243], [0.379, 0.178, 0.757], [0.865, 0.699, 0.729], [0.135, 0.301, 0.271]]}

---

No. 12
{"formula": "CoGeH", "functional": "PBE", "state": "optimized geometry", "final_energy_ev_per_cell": -60.79, "total_magnetization_mub_per_cell": 0.00, "sg": "Pnma (62)", "cell": [[-1.388, -3.472, 0.449], [2.330, -1.453, -4.033], [5.683, -1.765, 3.920]], "species": ["Co", "Co", "Co", "Co", "Ge", "Ge", "Ge", "Ge", "H", "H", "H", "H"], "fractional_positions": [[0.250, 0.862, 0.707], [0.750, 0.138, 0.293], [0.750, 0.638, 0.207], [0.250, 0.362, 0.793], [0.250, 0.353, 0.132], [0.750, 0.647, 0.868], [0.750, 0.147, 0.632], [0.250, 0.853, 0.368], [0.250, 0.572, 0.604], [0.750, 0.428, 0.396], [0.750, 0.928, 0.104], [0.250, 0.072, 0.896]]}

---

Respective DOS(E_F) values: 5.0; 6.4; 3.2; 21.6; 7.0; 5.9; 12.2; 5.6; 10.6; 7.6; 5.0; 5.6 states/eV per cell.